A plane-wave DFT calculation with PBE was carried out for crystalline HoPN3 at its relaxed geometry.

Summary:
Size of the total moment, μB per atom: 0.000
Formation energy from raw total energies, meV/atom: -778
Space-group type: P2_1/c

Unit cell a=5.969 b=5.654 c=9.606 alpha=90.00 beta=113.66 gamma=90.00
Fractional coordinates of all 20 atoms:
Ho1 0.238 0.131 0.378
Ho2 0.238 0.369 0.878
Ho3 0.762 0.631 0.122
Ho4 0.762 0.869 0.622
P1 0.118 0.673 0.492
P2 0.118 0.827 0.992
P3 0.882 0.173 0.008
P4 0.882 0.327 0.508
N1 0.047 0.541 0.633
N2 0.047 0.959 0.133
N3 0.071 0.094 0.560
N4 0.071 0.406 0.060
N5 0.378 0.746 0.007
N6 0.378 0.754 0.507
N7 0.622 0.246 0.493
N8 0.622 0.254 0.993
N9 0.929 0.594 0.940
N10 0.929 0.906 0.440
N11 0.953 0.041 0.867
N12 0.953 0.459 0.367


A plane-wave DFT calculation with PBE was carried out for crystalline HoPN2 at its relaxed geometry.

Summary:
Size of the total moment, μB per atom: 0.000
Formation energy from raw total energies, meV/atom: 182
Space-group type: R-3m

Unit cell a=6.807 b=6.807 c=6.807 alpha=24.56 beta=24.56 gamma=24.56
Fractional coordinates of all 4 atoms:
Ho1 0.000 0.000 0.000
P1 0.500 0.500 0.500
N1 0.119 0.119 0.119
N2 0.881 0.881 0.881


A plane-wave DFT calculation with PBE was carried out for crystalline HoPaP2N6 at its relaxed geometry.

Summary:
Size of the total moment, μB per atom: 0.000
Formation energy from raw total energies, meV/atom: -1059
Space-group type: C2/c

Unit cell a=6.902 b=6.902 c=5.405 alpha=100.65 beta=100.65 gamma=87.00
Fractional coordinates of all 20 atoms:
Ho1 0.094 0.906 0.750
Ho2 0.906 0.094 0.250
Pa1 0.317 0.683 0.250
Pa2 0.683 0.317 0.750
P1 0.201 0.377 0.746
P2 0.377 0.201 0.246
P3 0.623 0.799 0.754
P4 0.799 0.623 0.254
N1 0.013 0.234 0.669
N2 0.153 0.603 0.866
N3 0.234 0.013 0.169
N4 0.316 0.378 0.493
N5 0.378 0.316 0.993
N6 0.397 0.847 0.634
N7 0.603 0.153 0.366
N8 0.622 0.684 0.007
N9 0.684 0.622 0.507
N10 0.766 0.987 0.831
N11 0.847 0.397 0.134
N12 0.987 0.766 0.331


- What is the formula in the third record?
  HoPaP2N6


- Look up the size of the total moment of the first one.
  0.000 μB per atom